YErSb | PBE | relaxed

Energy ... -5.573 eV/atom
Symmetry ... F-43m, No. 216

a b c (Å): 5.050 5.050 5.050
angles (deg): 60.00 60.00 60.00
Element x y z (fractional)
Er 0.500 0.500 0.500
Y 0.000 0.000 0.000
Sb 0.250 0.250 0.250

Y2ErSb3 | PBE | relaxed

Energy ... -6.118 eV/atom
Symmetry ... P-3m1, No. 164

a b c (Å): 4.377 4.377 10.720
angles (deg): 90.00 90.00 120.00
Element x y z (fractional)
Sb 0.333 0.667 0.665
Y 0.333 0.667 0.167
Sb 0.000 0.000 0.000
Y 0.667 0.333 0.833
Er 0.000 0.000 0.500
Sb 0.667 0.333 0.335